Computed, not measured: a relaxed InMoIr2 crystal at the GGA-PBE level of DFT.

Cell: 6.382 6.382 6.382 Å, 90.00 90.00 90.00°
Fractional coordinates of all 16 atoms:
In: 0.000 0.000 0.000
In: 0.000 0.500 0.500
In: 0.500 0.000 0.500
In: 0.500 0.500 0.000
Mo: 0.250 0.250 0.250
Mo: 0.250 0.750 0.750
Mo: 0.750 0.250 0.750
Mo: 0.750 0.750 0.250
Ir: 0.000 0.000 0.500
Ir: 0.000 0.500 0.000
Ir: 0.250 0.250 0.750
Ir: 0.250 0.750 0.250
Ir: 0.500 0.000 0.000
Ir: 0.500 0.500 0.500
Ir: 0.750 0.250 0.250
Ir: 0.750 0.750 0.750

Properties
E = -7.55 eV/atom

---

Computed, not measured: a relaxed InNiMoIr crystal at the GGA-PBE level of DFT.

Cell: 6.265 6.265 6.265 Å, 90.00 90.00 90.00°
Fractional coordinates of all 16 atoms:
In: 0.000 0.000 0.000
In: 0.000 0.500 0.500
In: 0.500 0.000 0.500
In: 0.500 0.500 0.000
Ni: 0.250 0.250 0.250
Ni: 0.250 0.750 0.750
Ni: 0.750 0.250 0.750
Ni: 0.750 0.750 0.250
Mo: 0.250 0.250 0.750
Mo: 0.250 0.750 0.250
Mo: 0.750 0.250 0.250
Mo: 0.750 0.750 0.750
Ir: 0.000 0.000 0.500
Ir: 0.000 0.500 0.000
Ir: 0.500 0.000 0.000
Ir: 0.500 0.500 0.500

Properties
E = -6.86 eV/atom

---

Computed, not measured: a relaxed InIr3N5 crystal at the GGA-PBE level of DFT.

Cell: 5.682 5.682 3.909 Å, 90.00 90.00 120.00°
Fractional coordinates of all 9 atoms:
In: 0.000 0.000 0.000
Ir: 0.000 0.500 0.500
Ir: 0.500 0.000 0.500
Ir: 0.500 0.500 0.500
N: 0.000 0.000 0.500
N: 0.333 0.667 0.173
N: 0.333 0.667 0.827
N: 0.667 0.333 0.173
N: 0.667 0.333 0.827

Properties
E = -6.97 eV/atom

---

Computed, not measured: a relaxed InIrNO crystal at the GGA-PBE level of DFT.

Cell: 3.629 5.766 5.312 Å, 90.00 90.00 90.00°
Fractional coordinates of all 8 atoms:
In: 0.000 0.195 0.000
In: 0.000 0.805 0.500
Ir: 0.500 0.414 0.453
Ir: 0.500 0.586 0.953
N: 0.500 0.275 0.785
N: 0.500 0.725 0.285
O: 0.000 0.169 0.401
O: 0.000 0.831 0.901

Properties
energy above the most stable polymorph in this dataset = 0.1082 eV per atom
E = -6.09 eV/atom

---

Computed, not measured: a relaxed InIrNO crystal at the GGA-PBE level of DFT.

Cell: 4.422 4.422 4.985 Å, 90.00 90.00 90.00°
Fractional coordinates of all 8 atoms:
In: 0.250 0.750 0.000
In: 0.750 0.250 0.000
Ir: 0.250 0.250 0.455
Ir: 0.750 0.750 0.545
N: 0.250 0.250 0.866
N: 0.750 0.750 0.134
O: 0.250 0.750 0.500
O: 0.750 0.250 0.500

Properties
energy above the most stable polymorph in this dataset = 0.4529 eV per atom
E = -5.75 eV/atom

---

Computed, not measured: a relaxed InIrNO crystal at the GGA-PBE level of DFT.

Cell: 3.918 3.918 6.893 Å, 90.00 90.00 90.00°
Fractional coordinates of all 8 atoms:
In: 0.250 0.250 0.144
In: 0.750 0.750 0.856
Ir: 0.250 0.750 0.500
Ir: 0.750 0.250 0.500
N: 0.250 0.250 0.617
N: 0.750 0.750 0.383
O: 0.250 0.750 0.000
O: 0.750 0.250 0.000

Properties
energy above the most stable polymorph in this dataset = 0.0000 eV per atom
E = -6.20 eV/atom

---

Computed, not measured: a relaxed InIrNO crystal at the GGA-PBE level of DFT.

Cell: 2.883 6.800 5.329 Å, 90.00 90.00 90.00°
Fractional coordinates of all 8 atoms:
In: 0.000 0.202 0.000
In: 0.000 0.798 0.500
Ir: 0.500 0.298 0.568
Ir: 0.500 0.702 0.068
N: 0.000 0.127 0.419
N: 0.000 0.873 0.919
O: 0.500 0.428 0.189
O: 0.500 0.572 0.689

Properties
energy above the most stable polymorph in this dataset = 0.0049 eV per atom
E = -6.19 eV/atom

---

Computed, not measured: a relaxed NaInIr crystal at the GGA-PBE level of DFT.

Cell: 6.311 6.311 6.311 Å, 90.00 90.00 90.00°
Fractional coordinates of all 12 atoms:
Na: 0.000 0.000 0.000
Na: 0.000 0.500 0.500
Na: 0.500 0.000 0.500
Na: 0.500 0.500 0.000
In: 0.250 0.250 0.750
In: 0.250 0.750 0.250
In: 0.750 0.250 0.250
In: 0.750 0.750 0.750
Ir: 0.250 0.250 0.250
Ir: 0.250 0.750 0.750
Ir: 0.750 0.250 0.750
Ir: 0.750 0.750 0.250

Properties
E = -3.43 eV/atom

---

| no. | volume (Å³/atom) |
| --- | --- |
| 1 | 16.24 |
| 2 | 15.37 |
| 3 | 12.14 |
| 4 | 13.89 |
| 5 | 12.18 |
| 6 | 13.23 |
| 7 | 13.06 |
| 8 | 20.95 |